(1)
This record from OQMD via LeMat-Bulk describes RbMgCd3Sb3 after structural relaxation. The functional is PBE.

abc: 4.728 4.741 11.322
angles: 90.00 90.00 90.00
Space group Pmm2 (No. 25)
Inequivalent atoms, fractional coordinates:
Rb1 0.000 0.000 0.000 x1
Mg1 0.500 0.000 0.667 x1
Cd1 0.000 0.500 0.333 x1
Cd2 0.000 0.500 0.667 x1
Cd3 0.500 0.000 0.334 x1
Sb1 0.000 0.000 0.504 x1
Sb2 0.500 0.500 0.185 x1
Sb3 0.500 0.500 0.812 x1


(2)
This record from OQMD via LeMat-Bulk describes PuNbRe after structural relaxation. The functional is PBE.

abc: 6.229 6.229 6.229
angles: 90.00 90.00 90.00
Space group F-43m (No. 216)
Inequivalent atoms, fractional coordinates:
Pu1 0.000 0.000 0.000 x4
Nb1 0.250 0.250 0.250 x4
Re1 0.000 0.000 0.500 x4

Properties
**Magnetization**: 0.41 μB per cell


| no. | uncorrected energy (eV per atom) | theoretical density (g cm⁻³) |
| --- | --- | --- |
| 1 | -2.467 | 5.31 |
| 2 | -11.150 | 14.38 |